No. 1
The following is a PBE calculation of a relaxed CaZn3O crystal, from Alexandria.

Symmetry: No. 221
Spin magnetization, μB per formula unit: 0.00
Energy relative to the elements, uncorrected, meV/atom: 1088
Raw total energy, eV per atom: -1.068
Energy above the lowest structure with this stoichiometry, meV/atom: 1200

Cell lengths 5.809, 5.809, 5.809 Å; angles 90.00, 90.00, 90.00 degrees
Element x y z (fractional)
Zn 0.500 0.000 0.000
Zn 0.000 0.000 0.500
Zn 0.000 0.500 0.000
Ca 0.000 0.000 0.000
O 0.500 0.500 0.500

=====

No. 2
The following is a PBE calculation of a relaxed Ca12Zn3O5 crystal, from Alexandria.

Symmetry: No. 230
Spin magnetization, μB per formula unit: 0.00
Energy relative to the elements, uncorrected, meV/atom: -1390
Raw total energy, eV per atom: -4.021

Cell lengths 13.615, 13.615, 13.615 Å; angles 109.47, 109.47, 109.47 degrees
Element x y z (fractional)
O 0.875 0.250 0.625
O 0.375 0.125 0.750
O 0.375 0.250 0.125
O 0.500 0.500 0.000
O 0.625 0.750 0.875
O 0.875 0.625 0.750
O 0.000 0.000 0.500
O 0.250 0.875 0.125
O 0.000 0.000 0.000
O 0.250 0.375 0.625
O 0.125 0.750 0.375
O 0.125 0.375 0.250
O 0.750 0.125 0.875
O 0.750 0.625 0.375
O 0.500 0.000 0.000
O 0.500 0.500 0.500
O 0.000 0.500 0.000
O 0.500 0.000 0.500
O 0.625 0.875 0.250
O 0.000 0.500 0.500
Ca 0.616 0.013 0.199
Ca 0.685 0.487 0.602
Ca 0.513 0.199 0.116
Ca 0.102 0.185 0.487
Ca 0.801 0.487 0.384
Ca 0.685 0.199 0.583
Ca 0.315 0.513 0.398
Ca 0.583 0.699 0.685
Ca 0.384 0.987 0.801
Ca 0.987 0.602 0.185
Ca 0.699 0.583 0.185
Ca 0.487 0.685 0.102
Ca 0.884 0.301 0.487
Ca 0.384 0.398 0.083
Ca 0.487 0.801 0.884
Ca 0.315 0.801 0.417
Ca 0.602 0.987 0.685
Ca 0.102 0.917 0.116
Ca 0.185 0.102 0.987
Ca 0.583 0.884 0.398
Ca 0.185 0.083 0.699
Ca 0.013 0.398 0.815
Ca 0.398 0.013 0.315
Ca 0.199 0.513 0.616
Ca 0.616 0.602 0.917
Ca 0.199 0.685 0.083
Ca 0.917 0.102 0.616
Ca 0.699 0.116 0.013
Ca 0.815 0.898 0.013
Ca 0.417 0.116 0.602
Ca 0.301 0.417 0.815
Ca 0.116 0.699 0.513
Ca 0.801 0.315 0.917
Ca 0.116 0.417 0.102
Ca 0.398 0.384 0.583
Ca 0.602 0.616 0.417
Ca 0.987 0.384 0.301
Ca 0.417 0.301 0.315
Ca 0.083 0.185 0.199
Ca 0.513 0.315 0.898
Ca 0.917 0.815 0.801
Ca 0.083 0.898 0.384
Ca 0.301 0.884 0.987
Ca 0.898 0.083 0.884
Ca 0.884 0.583 0.898
Ca 0.013 0.616 0.699
Ca 0.898 0.815 0.513
Ca 0.815 0.917 0.301
Zn 0.625 0.375 0.750
Zn 0.875 0.750 0.125
Zn 0.125 0.875 0.750
Zn 0.375 0.625 0.250
Zn 0.125 0.250 0.875
Zn 0.250 0.125 0.375
Zn 0.250 0.625 0.875
Zn 0.875 0.125 0.250
Zn 0.750 0.875 0.625
Zn 0.750 0.375 0.125
Zn 0.625 0.250 0.375
Zn 0.375 0.750 0.625

=====

No. 3
The following is a PBE calculation of a relaxed Ca3Zn5O12 crystal, from Alexandria.

Symmetry: No. 230
Spin magnetization, μB per formula unit: 8.09
Energy relative to the elements, uncorrected, meV/atom: -1268
Raw total energy, eV per atom: -4.861

Cell lengths 10.961, 10.961, 10.961 Å; angles 109.47, 109.47, 109.47 degrees
Element x y z (fractional)
O 0.909 0.085 0.879
O 0.409 0.379 0.585
O 0.530 0.206 0.121
O 0.415 0.121 0.591
O 0.379 0.970 0.794
O 0.585 0.706 0.676
O 0.415 0.294 0.324
O 0.706 0.585 0.176
O 0.379 0.409 0.085
O 0.824 0.915 0.294
O 0.794 0.324 0.915
O 0.915 0.091 0.621
O 0.030 0.409 0.824
O 0.621 0.030 0.206
O 0.176 0.085 0.706
O 0.909 0.824 0.530
O 0.294 0.415 0.824
O 0.824 0.909 0.030
O 0.915 0.824 0.794
O 0.794 0.470 0.379
O 0.206 0.676 0.085
O 0.621 0.591 0.915
O 0.206 0.530 0.621
O 0.706 0.121 0.030
O 0.470 0.794 0.879
O 0.585 0.879 0.409
O 0.085 0.909 0.379
O 0.409 0.030 0.324
O 0.530 0.324 0.909
O 0.324 0.794 0.415
O 0.030 0.621 0.706
O 0.879 0.294 0.470
O 0.470 0.676 0.091
O 0.294 0.879 0.970
O 0.879 0.585 0.909
O 0.324 0.530 0.409
O 0.091 0.915 0.121
O 0.591 0.621 0.415
O 0.970 0.591 0.176
O 0.676 0.470 0.591
O 0.085 0.176 0.206
O 0.121 0.415 0.091
O 0.091 0.176 0.470
O 0.676 0.206 0.585
O 0.970 0.379 0.294
O 0.121 0.706 0.530
O 0.591 0.970 0.676
O 0.176 0.091 0.970
Ca 0.875 0.750 0.125
Ca 0.250 0.625 0.875
Ca 0.750 0.375 0.125
Ca 0.625 0.250 0.375
Ca 0.750 0.875 0.625
Ca 0.375 0.625 0.250
Ca 0.875 0.125 0.250
Ca 0.625 0.375 0.750
Ca 0.375 0.750 0.625
Ca 0.125 0.250 0.875
Ca 0.250 0.125 0.375
Ca 0.125 0.875 0.750
Zn 0.125 0.750 0.375
Zn 0.750 0.625 0.375
Zn 0.125 0.375 0.250
Zn 0.375 0.125 0.750
Zn 0.875 0.625 0.750
Zn 0.000 0.500 0.000
Zn 0.250 0.375 0.625
Zn 0.000 0.000 0.000
Zn 0.875 0.250 0.625
Zn 0.500 0.000 0.500
Zn 0.500 0.000 0.000
Zn 0.625 0.875 0.250
Zn 0.375 0.250 0.125
Zn 0.500 0.500 0.000
Zn 0.250 0.875 0.125
Zn 0.750 0.125 0.875
Zn 0.000 0.500 0.500
Zn 0.000 0.000 0.500
Zn 0.625 0.750 0.875
Zn 0.500 0.500 0.500

=====

No. 4
The following is a PBE calculation of a relaxed Ca2ZnO3 crystal, from Alexandria.

Symmetry: No. 12
Spin magnetization, μB per formula unit: 0.00
Energy relative to the elements, uncorrected, meV/atom: -2363
Raw total energy, eV per atom: -5.722
Energy above the lowest structure with this stoichiometry, meV/atom: 16

Cell lengths 3.299, 4.757, 5.755 Å; angles 114.41, 108.59, 90.00 degrees
Element x y z (fractional)
O 0.127 0.155 0.310
O 0.873 0.845 0.690
O 0.500 0.500 0.000
Ca 0.829 0.336 0.672
Ca 0.171 0.664 0.328
Zn 0.500 0.000 0.000

=====

No. 5
The following is a PBE calculation of a relaxed CaZnO2 crystal, from Alexandria.

Symmetry: No. 33
Spin magnetization, μB per formula unit: 0.00
Energy relative to the elements, uncorrected, meV/atom: -2137
Raw total energy, eV per atom: -5.435

Cell lengths 5.387, 6.173, 7.123 Å; angles 90.00, 90.00, 90.00 degrees
Element x y z (fractional)
O 0.416 0.102 0.139
O 0.870 0.950 0.391
O 0.370 0.550 0.891
O 0.916 0.898 0.861
O 0.870 0.450 0.109
O 0.370 0.050 0.609
O 0.916 0.398 0.639
O 0.416 0.602 0.361
Ca 0.488 0.895 0.878
Ca 0.988 0.105 0.122
Ca 0.988 0.605 0.378
Ca 0.488 0.395 0.622
Zn 0.999 0.575 0.871
Zn 0.999 0.075 0.629
Zn 0.499 0.925 0.371
Zn 0.499 0.425 0.129

=====

No. 6
The following is a PBE calculation of a relaxed CaZnO3 crystal, from Alexandria.

Symmetry: No. 221
Spin magnetization, μB per formula unit: 0.67
Energy relative to the elements, uncorrected, meV/atom: -1371
Raw total energy, eV per atom: -5.001

Cell lengths 3.834, 3.834, 3.834 Å; angles 90.00, 90.00, 90.00 degrees
Element x y z (fractional)
Zn 0.000 0.000 0.000
O 0.500 0.000 0.000
O 0.000 0.500 0.000
O 0.000 0.000 0.500
Ca 0.500 0.500 0.500

=====

No. 7
The following is a PBE calculation of a relaxed CaZn6O6 crystal, from Alexandria.

Symmetry: No. 200
Spin magnetization, μB per formula unit: 0.00
Energy relative to the elements, uncorrected, meV/atom: -1192
Raw total energy, eV per atom: -4.222

Cell lengths 5.801, 5.801, 5.801 Å; angles 90.00, 90.00, 90.00 degrees
Element x y z (fractional)
Zn 0.000 0.739 0.500
Zn 0.500 0.000 0.739
Zn 0.739 0.500 0.000
Zn 0.500 0.000 0.261
Zn 0.261 0.500 0.000
Zn 0.000 0.261 0.500
O 0.500 0.759 0.000
O 0.241 0.000 0.500
O 0.000 0.500 0.241
O 0.000 0.500 0.759
O 0.500 0.241 0.000
O 0.759 0.000 0.500
Ca 0.000 0.000 0.000

=====

No. 8
The following is a PBE calculation of a relaxed Ca2ZrO crystal, from Alexandria.

Symmetry: No. 122
Spin magnetization, μB per formula unit: 2.21
Energy relative to the elements, uncorrected, meV/atom: -729
Raw total energy, eV per atom: -5.106
Energy above the lowest structure with this stoichiometry, meV/atom: 0

Cell lengths 6.951, 6.951, 6.805 Å; angles 59.29, 59.29, 90.00 degrees
Element x y z (fractional)
O 0.250 0.750 0.500
O 0.500 0.500 0.000
Ca 0.294 0.625 0.250
Ca 0.875 0.706 0.750
Ca 0.375 0.544 0.750
Ca 0.456 0.125 0.250
Zr 0.750 0.250 0.500
Zr 0.000 0.000 0.000

=====

No. 9
The following is a PBE calculation of a relaxed Ca6ZrO8 crystal, from Alexandria.

Symmetry: No. 225
Spin magnetization, μB per formula unit: 0.00
Energy relative to the elements, uncorrected, meV/atom: -3055
Raw total energy, eV per atom: -7.070

Cell lengths 6.809, 6.809, 6.809 Å; angles 60.00, 60.00, 60.00 degrees
Element x y z (fractional)
O 0.222 0.778 0.222
O 0.778 0.222 0.222
O 0.250 0.250 0.250
O 0.222 0.222 0.778
O 0.778 0.222 0.778
O 0.750 0.750 0.750
O 0.222 0.778 0.778
O 0.778 0.778 0.222
Ca 0.000 0.500 0.500
Ca 0.500 0.000 0.000
Ca 0.000 0.000 0.500
Ca 0.500 0.000 0.500
Ca 0.500 0.500 0.000
Ca 0.000 0.500 0.000
Zr 0.000 0.000 0.000

=====

No. 10
The following is a PBE calculation of a relaxed CaZr4O9 crystal, from Alexandria.

Symmetry: No. 15
Spin magnetization, μB per formula unit: 0.00
Energy relative to the elements, uncorrected, meV/atom: -3312
Raw total energy, eV per atom: -9.085
Energy above the lowest structure with this stoichiometry, meV/atom: 0

Cell lengths 11.633, 11.633, 12.188 Å; angles 67.84, 67.84, 79.04 degrees
Element x y z (fractional)
Zr 0.211 0.581 0.551
Zr 0.885 0.745 0.348
Zr 0.186 0.814 0.250
Zr 0.152 0.064 0.935
Zr 0.992 0.378 0.177
Zr 0.848 0.936 0.065
Zr 0.666 0.514 0.950
Zr 0.514 0.666 0.450
Zr 0.252 0.358 0.880
Zr 0.936 0.848 0.565
Zr 0.065 0.697 0.050
Zr 0.748 0.642 0.120
Zr 0.303 0.935 0.450
Zr 0.935 0.303 0.950
Zr 0.115 0.255 0.652
Zr 0.642 0.748 0.620
Zr 0.486 0.334 0.550
Zr 0.255 0.115 0.152
Zr 0.313 0.687 0.750
Zr 0.687 0.313 0.250
Zr 0.334 0.486 0.050
Zr 0.697 0.065 0.550
Zr 0.419 0.789 0.949
Zr 0.745 0.885 0.848
Zr 0.622 0.008 0.323
Zr 0.581 0.211 0.051
Zr 0.064 0.152 0.435
Zr 0.008 0.622 0.823
Zr 0.358 0.252 0.380
Zr 0.378 0.992 0.677
Zr 0.814 0.186 0.750
Zr 0.789 0.419 0.449
O 0.118 0.505 0.144
O 0.195 0.542 0.746
O 0.280 0.925 0.286
O 0.278 0.878 0.652
O 0.148 0.993 0.129
O 0.960 0.324 0.377
O 0.363 0.779 0.132
O 0.878 0.278 0.152
O 0.925 0.280 0.786
O 0.722 0.122 0.348
O 0.040 0.676 0.623
O 0.673 0.577 0.762
O 0.895 0.046 0.477
O 0.423 0.327 0.738
O 0.277 0.163 0.955
O 0.553 0.903 0.920
O 0.351 0.507 0.862
O 0.882 0.495 0.856
O 0.221 0.637 0.368
O 0.263 0.131 0.329
O 0.516 0.395 0.990
O 0.274 0.317 0.059
O 0.163 0.277 0.455
O 0.605 0.484 0.510
O 0.131 0.263 0.829
O 0.811 0.925 0.260
O 0.683 0.726 0.441
O 0.779 0.363 0.632
O 0.327 0.423 0.238
O 0.903 0.553 0.420
O 0.726 0.683 0.941
O 0.484 0.605 0.010
O 0.852 0.007 0.871
O 0.189 0.075 0.740
O 0.062 0.396 0.977
O 0.493 0.649 0.638
O 0.505 0.118 0.644
O 0.837 0.723 0.545
O 0.046 0.895 0.977
O 0.604 0.938 0.523
O 0.495 0.882 0.356
O 0.925 0.811 0.760
O 0.993 0.148 0.629
O 0.097 0.447 0.580
O 0.869 0.737 0.171
O 0.731 0.318 0.025
O 0.723 0.837 0.045
O 0.396 0.062 0.477
O 0.682 0.269 0.475
O 0.122 0.722 0.848
O 0.007 0.852 0.371
O 0.507 0.351 0.362
O 0.318 0.731 0.525
O 0.105 0.954 0.523
O 0.269 0.682 0.975
O 0.649 0.493 0.138
O 0.324 0.960 0.877
O 0.447 0.097 0.080
O 0.395 0.516 0.490
O 0.458 0.805 0.754
O 0.954 0.105 0.023
O 0.805 0.458 0.254
O 0.938 0.604 0.023
O 0.720 0.075 0.714
O 0.075 0.720 0.214
O 0.317 0.274 0.559
O 0.637 0.221 0.868
O 0.075 0.189 0.240
O 0.676 0.040 0.123
O 0.577 0.673 0.262
O 0.542 0.195 0.246
O 0.737 0.869 0.671
Ca 0.563 0.437 0.750
Ca 0.886 0.512 0.650
Ca 0.488 0.114 0.850
Ca 0.064 0.936 0.750
Ca 0.512 0.886 0.150
Ca 0.437 0.563 0.250
Ca 0.936 0.064 0.250
Ca 0.114 0.488 0.350

=====

No. 11
The following is a PBE calculation of a relaxed CaZr2O crystal, from Alexandria.

Symmetry: No. 122
Spin magnetization, μB per formula unit: 0.00
Energy relative to the elements, uncorrected, meV/atom: -964
Raw total energy, eV per atom: -6.978
Energy above the lowest structure with this stoichiometry, meV/atom: 0

Cell lengths 6.715, 6.715, 6.582 Å; angles 59.33, 59.33, 90.00 degrees
Element x y z (fractional)
O 0.500 0.500 0.000
O 0.250 0.750 0.500
Zr 0.875 0.559 0.750
Zr 0.375 0.691 0.750
Zr 0.441 0.625 0.250
Zr 0.309 0.125 0.250
Ca 0.750 0.250 0.500
Ca 0.000 0.000 0.000

=====

No. 12
The following is a PBE calculation of a relaxed CaZr3O crystal, from Alexandria.

Symmetry: No. 221
Spin magnetization, μB per formula unit: 0.00
Energy relative to the elements, uncorrected, meV/atom: -782
Raw total energy, eV per atom: -7.303
Energy above the lowest structure with this stoichiometry, meV/atom: 0

Cell lengths 4.658, 4.658, 4.658 Å; angles 90.00, 90.00, 90.00 degrees
Element x y z (fractional)
Zr 0.500 0.000 0.000
Zr 0.000 0.500 0.000
Zr 0.000 0.000 0.500
O 0.000 0.000 0.000
Ca 0.500 0.500 0.500

=====

- What is the raw total energy in the eighth record?
  -5.106 eV per atom

=====

- Look up the spin magnetization of the tenth one.
  0.00 μB per formula unit